VASP calculation (GGA-PBE) on an optimized crystal structure of Na4SbAsPt2.

Values from the calculation:
crystal system: orthorhombic
electronic total energy: -3.697 eV per atom
volume: 22.29 Å³ per atom
E above lowest polymorph: 0.000 eV per atom

Cell lengths 5.604, 9.132, 6.971 Å; angles 90.00, 90.00, 90.00 degrees
Space group Amm2 (No. 38)
Asymmetric unit:
Na1 0.000 0.180 0.000 [4 per cell]
Na2 0.500 0.188 0.334 [4 per cell]
Sb1 0.000 0.000 0.369 [2 per cell]
As1 0.500 0.000 0.973 [2 per cell]
Pt1 0.252 0.000 0.685 [4 per cell]